Below is a relaxed structure of SrMnIn2Ga, with properties calculated at the PBE level.

Structure (CIF):
```
data_SrMnIn2Ga
_cell_length_a 5.046
_cell_length_b 5.046
_cell_length_c 4.780
_cell_angle_alpha 90.00
_cell_angle_beta 90.00
_cell_angle_gamma 90.00
_symmetry_space_group_name_H-M 'P 1'
_symmetry_Int_Tables_number 1
_symmetry_space_group_name_Hall 'P 1'
loop_
_atom_site_label
_atom_site_fract_x
_atom_site_fract_y
_atom_site_fract_z
Sr1 0.500 0.500 0.500
Mn1 0.000 0.000 0.000
Ga1 0.000 0.000 0.500
In1 0.000 0.500 0.000
In2 0.500 0.000 0.000
```

Values from the calculation:
As for the space group: P4/mmm (123). Its energy is -3.995 eV/atom. Its magnetization is 0.00 μB/cell. For the formation energy, the calculation gives -0.124 eV/atom.

Below is a relaxed structure of MnInGaTc2, with properties calculated at the PBE level.

Structure (CIF):
```
data_MnInGaTc2
_cell_length_a 4.472
_cell_length_b 4.512
_cell_length_c 4.472
_cell_angle_alpha 90.00
_cell_angle_beta 90.00
_cell_angle_gamma 90.00
_symmetry_space_group_name_H-M 'P 1'
_symmetry_Int_Tables_number 1
_symmetry_space_group_name_Hall 'P 1'
loop_
_atom_site_label
_atom_site_fract_x
_atom_site_fract_y
_atom_site_fract_z
Mn1 0.000 0.000 0.000
Tc1 0.000 0.000 0.500
Tc2 0.500 0.000 0.000
Ga1 0.000 0.500 0.000
In1 0.500 0.500 0.500
```

Values from the calculation:
As for the space group: P4/mmm (123). Its energy is -6.331 eV/atom. Its magnetization is 0.00 μB/cell. For the formation energy, the calculation gives 0.803 eV/atom.

Below is a relaxed structure of MnIn2GaTe6, with properties calculated at the PBE level.

Structure (CIF):
```
data_MnIn2GaTe6
_cell_length_a 7.332
_cell_length_b 9.481
_cell_length_c 9.481
_cell_angle_alpha 83.84
_cell_angle_beta 82.62
_cell_angle_gamma 82.62
_symmetry_space_group_name_H-M 'P 1'
_symmetry_Int_Tables_number 1
_symmetry_space_group_name_Hall 'P 1'
loop_
_atom_site_label
_atom_site_fract_x
_atom_site_fract_y
_atom_site_fract_z
Mn1 0.250 0.911 0.089
Mn2 0.750 0.089 0.911
In1 0.216 0.776 0.591
In2 0.284 0.409 0.224
In3 0.784 0.224 0.409
In4 0.716 0.591 0.776
Ga1 0.250 0.249 0.751
Ga2 0.750 0.751 0.249
Te1 0.109 0.973 0.818
Te2 0.391 0.182 0.027
Te3 0.891 0.027 0.182
Te4 0.609 0.818 0.973
Te5 0.412 0.905 0.342
Te6 0.088 0.658 0.095
Te7 0.588 0.095 0.658
Te8 0.912 0.342 0.905
Te9 0.854 0.756 0.530
Te10 0.646 0.470 0.244
Te11 0.146 0.244 0.470
Te12 0.354 0.530 0.756
```

Values from the calculation:
As for the space group: C2/c (15). Its energy is -3.818 eV/atom. Its magnetization is 7.78 μB/cell. The calculation puts the formation energy (no corrections) at -0.166 eV per atom.

Below is a relaxed structure of Ti2MnInGa, with properties calculated at the PBE level.

Structure (CIF):
```
data_Ti2MnInGa
_cell_length_a 5.032
_cell_length_b 4.855
_cell_length_c 5.032
_cell_angle_alpha 90.00
_cell_angle_beta 90.00
_cell_angle_gamma 90.00
_symmetry_space_group_name_H-M 'P 1'
_symmetry_Int_Tables_number 1
_symmetry_space_group_name_Hall 'P 1'
loop_
_atom_site_label
_atom_site_fract_x
_atom_site_fract_y
_atom_site_fract_z
Mn1 0.000 0.500 0.000
Ti1 0.000 0.000 0.500
Ti2 0.500 0.000 0.000
Ga1 0.500 0.500 0.500
In1 0.000 0.000 0.000
```

Values from the calculation:
As for the space group: P4/mmm (123). Its energy is -5.004 eV/atom. Its magnetization is 3.88 μB/cell. For the formation energy, the calculation gives 1.141 eV/atom.

energy of number 4 (Ti2MnInGa)?
-5.004 eV/atom

Among the records above, which one has the lowest energy?
MnInGaTc2